Entry 1:
Dy3ScSe6: optimized geometry, PBE.

Computed properties:
ΔE_f (raw), meV/atom: -1809
Space-group type: R-3, No. 148

The structure in POSCAR format:
```
Dy3ScSe6
1.0
8.2700 0.0205 0.0210
-0.1590 8.2685 0.0210
-0.1590 -0.1625 8.2670
Se Dy Sc
12 6 2
direct
0.9179 0.0847 0.3074 Se
0.4145 0.1890 0.5423 Se
0.3074 0.9179 0.0847 Se
0.6926 0.0821 0.9153 Se
0.9153 0.6926 0.0821 Se
0.5855 0.8110 0.4577 Se
0.1890 0.5423 0.4145 Se
0.0847 0.3074 0.9179 Se
0.8110 0.4577 0.5855 Se
0.5423 0.4145 0.1890 Se
0.0821 0.9153 0.6926 Se
0.4577 0.5855 0.8110 Se
0.4275 0.9193 0.7536 Dy
0.2464 0.5725 0.0807 Dy
0.0807 0.2464 0.5725 Dy
0.5725 0.0807 0.2464 Dy
0.9193 0.7536 0.4275 Dy
0.7536 0.4275 0.9193 Dy
0.5000 0.5000 0.5000 Sc
0.0000 0.0000 0.0000 Sc
```



Entry 2:
CaLa2InRu: optimized geometry, PBE.

Computed properties:
Energy of formation from the pure elements, eV/atom: -0.252
Space-group type: P4/mmm, No. 123

The structure in POSCAR format:
```
CaLa2InRu
1.0
-4.1288 -1.8095 -3.0610
2.2823 -4.9455 -0.1549
-2.7346 -1.4035 4.5183
La Ca Ru In
2 1 1 1
direct
0.5000 0.0000 0.0000 La
0.0000 0.5000 0.0000 La
0.5000 0.5000 0.5000 Ca
0.0000 0.0000 0.0000 Ru
0.0000 0.0000 0.5000 In
```



| no. | N(E_F) (states/eV per cell) | total DFT energy (no corrections) (eV/atom) |
| --- | --- | --- |
| 1 | 0.00 | -5.9133 |
| 2 | 4.07 | -5.0262 |